Entry 1:
Density functional theory data (PBE) for a relaxed structure of ZrCdRu.

Cell lengths 5.4344, 5.4344, 3.4194 Å; angles 71.66, 71.66, 36.67 degrees
With the nearest neighbours (Å) after each atom.
Atoms (fractional coordinates):
Ru (0.3181, 0.3181, 0.6819)  4 Zr 2.73, 4 Cd 2.96
Cd (0.9938, 0.9938, 0.0062)  5 Ru 2.96-3.16, 5 Zr 2.97-3.07
Zr (0.6881, 0.6881, 0.3119)  4 Ru 2.73, 1 Cd 2.97

The energy above the most stable polymorph in this dataset comes out at 59 meV per atom. The space-group type is I4mm, No. 107. The magnetization comes out at 0.0000 μB/atom. Its formation energy is -0.2351 eV per atom. As for the crystal system: tetragonal.

***

Entry 2:
Density functional theory data (PBE) for a relaxed structure of Na3Sr2NbS6.

Cell lengths 7.0979, 7.0979, 7.0096 Å; angles 99.81, 99.81, 120.11 degrees
With the nearest neighbours (Å) after each atom.
Atoms (fractional coordinates):
S (0.3643, 0.0759, 0.2281)  1 Nb 2.54
S (0.0759, 0.3643, 0.2281)  1 Nb 2.54
S (0.2138, 0.2138, 0.7809)  1 Nb 2.50
S (0.9241, 0.6357, 0.7719)  1 Nb 2.54
S (0.6357, 0.9241, 0.7719)  1 Nb 2.54
S (0.7862, 0.7862, 0.2191)  1 Nb 2.50
Sr (0.6676, 0.3324, 0.0000)  6 S 2.93-2.96
Sr (0.3324, 0.6676, 0.0000)  6 S 2.93-2.96
Nb (0.0000, 0.0000, 0.0000)  6 S 2.50-2.54
Na (0.5000, 0.5000, 0.5000)  4 S 2.85
Na (0.1621, 0.8379, 0.5000)  4 S 2.85
Na (0.8379, 0.1621, 0.5000)  4 S 2.85

The space-group type is C2/m, No. 12. The magnetization comes out at 0.0000 μB/atom. For the uncorrected formation energy, the calculation gives -1616 kJ/mol of formula units. As for the crystal system: monoclinic.

***

Entry 3:
Density functional theory data (PBE) for a relaxed structure of MnTc2Os.

Cell lengths 4.3186, 4.3186, 4.3186 Å; angles 60.00, 60.00, 60.00 degrees
With the nearest neighbours (Å) after each atom.
Atoms (fractional coordinates):
Os (0.7500, 0.7500, 0.7500)  4 Tc 2.64, 4 Mn 2.64
Tc (0.0000, 0.0000, 0.0000)  4 Os 2.64, 4 Tc 2.64
Tc (0.2500, 0.2500, 0.2500)  4 Mn 2.64, 4 Tc 2.64
Mn (0.5000, 0.5000, 0.5000)  4 Os 2.64, 4 Tc 2.64

The energy above the most stable polymorph in this dataset comes out at 162 meV per atom. The space-group type is F-43m, No. 216. The magnetization comes out at 0.8157 μB/atom. Its formation energy is 0.2192 eV per atom. As for the crystal system: cubic.

***

Entry 4:
Density functional theory data (PBE) for a relaxed structure of Cd2CuAgTe.

Cell lengths 5.2617, 4.8448, 5.2617 Å; angles 90.00, 90.00, 90.00 degrees
With the nearest neighbours (Å) after each atom.
Atoms (fractional coordinates):
Te (0.5000, 0.5000, 0.5000)  8 Cd 3.58, 4 Cu 3.72
Cd (0.5000, 0.0000, 0.0000)  2 Ag 2.63
Cd (0.0000, 0.0000, 0.5000)  2 Ag 2.63
Cu (0.0000, 0.5000, 0.0000)  2 Ag 2.42
Ag (0.0000, 0.0000, 0.0000)  2 Cu 2.42, 4 Cd 2.63

The space-group type is P4/mmm, No. 123. The magnetization comes out at 0.0000 μB/atom. For the uncorrected formation energy, the calculation gives 221 kJ/mol of formula units. As for the crystal system: tetragonal.